(1)
PBE CaCePd4, relaxed; SG = Cmcm (63)
1.0
2.092 -10.095 0.000
2.092 10.095 0.000
0.000 0.000 5.757
Ca Ce Pd
2 2 8
direct
0.225 0.775 0.750 Ca
0.775 0.225 0.250 Ca
0.078 0.922 0.250 Ce
0.922 0.078 0.750 Ce
0.072 0.928 0.750 Pd
0.357 0.643 0.006 Pd
0.357 0.643 0.494 Pd
0.500 0.500 0.000 Pd
0.500 0.500 0.500 Pd
0.643 0.357 0.506 Pd
0.643 0.357 0.994 Pd
0.928 0.072 0.250 Pd

=====

(2)
PBE Ac2La3TmSe6, relaxed; SG = C2/m (12); formation energy without anion corrections = -22.58 eV/f.u.
1.0
3.744 -6.496 0.000
3.744 6.496 0.000
-2.520 0.000 7.028
Ac La Tm Se
2 3 1 6
direct
0.166 0.834 0.000 Ac
0.834 0.166 0.000 Ac
0.000 0.000 0.500 La
0.326 0.674 0.500 La
0.674 0.326 0.500 La
0.500 0.500 0.000 Tm
0.106 0.420 0.756 Se
0.272 0.272 0.252 Se
0.420 0.106 0.756 Se
0.580 0.894 0.244 Se
0.728 0.728 0.748 Se
0.894 0.580 0.244 Se

=====

(3)
PBE Al2AgSn, relaxed; SG = I-42d (122)
1.0
-2.261 2.261 8.665
2.261 -2.261 8.665
2.261 2.261 -8.665
Al Ag Sn
4 2 2
direct
0.064 0.625 0.939 Al
0.375 0.314 0.439 Al
0.686 0.125 0.061 Al
0.875 0.936 0.561 Al
0.000 0.000 0.000 Ag
0.750 0.250 0.500 Ag
0.250 0.750 0.500 Sn
0.500 0.500 0.000 Sn

=====

Number 1: D(E_F) 9.29 states/eV per cell, VASP energy -33.1 eV per formula unit. Number 2: D(E_F) 6.42 states/eV per cell, VASP energy -71.0 eV per formula unit. Number 3: D(E_F) 3.02 states/eV per cell, VASP energy -13.8 eV per formula unit.